Record 1
A geometry-optimized Tc3OsW structure. Source: Alexandria via LeMat-Bulk, functional GGA-PBE.

Unit cell a=4.6022 b=4.6022 c=4.6022 alpha=90.00 beta=90.00 gamma=90.00
Space group Pm-3m (No. 221)
Symmetry-distinct sites (fractional):
Tc: 0.0000 0.0000 0.5000
Os: 0.0000 0.0000 0.0000
W: 0.5000 0.5000 0.5000

As for the crystal system: cubic. The energy above the most stable polymorph in this dataset is 0 meV/atom. The density of states at the Fermi level comes out at 1.359 states/eV/atom. The value obtained for the energy of formation is 2.08 eV/atom. As for the final energy: -8.971 eV per atom.

Record 2
A geometry-optimized Be2TcW structure. Source: Alexandria via LeMat-Bulk, functional GGA-PBE.

Unit cell a=2.6258 b=3.6327 c=5.2324 alpha=90.00 beta=102.43 gamma=90.00
Space group P2/m (No. 10)
Symmetry-distinct sites (fractional):
Be: 0.0075 0.0000 0.2664
Tc: 0.5000 0.5000 0.5000
W: 0.5000 0.5000 0.0000

As for the crystal system: monoclinic. The energy above the most stable polymorph in this dataset is 339 meV/atom. The density of states at the Fermi level comes out at 0.611 states/eV/atom. The value obtained for the energy of formation is 0.12 eV/atom. As for the final energy: -7.575 eV per atom.

Record 3
A geometry-optimized Ta2AgHg structure. Source: Alexandria via LeMat-Bulk, functional GGA-PBE.

Unit cell a=2.9304 b=2.9304 c=30.6030 alpha=90.00 beta=90.00 gamma=120.00
Space group R3m (No. 160, hexagonal axes)
Symmetry-distinct sites (fractional):
Ta: 0.0000 0.0000 0.0000
Ta: 0.0000 0.0000 0.2496
Ag: 0.0000 0.0000 0.7471
Hg: 0.0000 0.0000 0.4973

As for the crystal system: trigonal. The density of states at the Fermi level comes out at 0.906 states/eV/atom. The value obtained for the energy of formation is 0.30 eV/atom. As for the final energy: -6.411 eV per atom.

Record 4
A geometry-optimized Pr3SmAg structure. Source: Alexandria via LeMat-Bulk, functional GGA-PBE.

Unit cell a=11.9478 b=8.6646 c=8.1770 alpha=90.00 beta=124.23 gamma=90.00
Space group C2/m (No. 12)
Symmetry-distinct sites (fractional):
Pr: 0.0474 0.0000 0.3024
Pr: 0.1817 0.2967 0.6998
Sm: 0.0795 0.5000 0.2650
Ag: 0.2290 0.5000 0.0569

As for the crystal system: monoclinic. The density of states at the Fermi level comes out at 1.332 states/eV/atom. The value obtained for the energy of formation is 0.06 eV/atom. As for the final energy: -4.323 eV per atom.